# Rb3Mn16O32, relaxed, DFT PBE+U
data_Rb3Mn16O32
_cell_length_a 8.374
_cell_length_b 8.425
_cell_length_c 10.247
_cell_angle_alpha 112.13
_cell_angle_beta 101.89
_cell_angle_gamma 106.38
_space_group_name_H-M_alt 'P 1'
_space_group_IT_number 1
_space_group_name_Hall 'P 1'
loop_
_atom_site_label
_atom_site_type_symbol
_atom_site_fract_x
_atom_site_fract_y
_atom_site_fract_z
Rb1 Rb 0.000 0.000 0.000
Rb2 Rb 0.296 0.999 0.295
Rb3 Rb 0.704 0.001 0.705
Mn1 Mn 0.014 0.184 0.502
Mn2 Mn 0.047 0.487 0.864
Mn3 Mn 0.203 0.513 0.387
Mn4 Mn 0.234 0.816 0.748
Mn5 Mn 0.262 0.185 0.753
Mn6 Mn 0.296 0.482 0.113
Mn7 Mn 0.454 0.516 0.638
Mn8 Mn 0.487 0.816 0.997
Mn9 Mn 0.513 0.184 0.003
Mn10 Mn 0.546 0.484 0.362
Mn11 Mn 0.704 0.518 0.887
Mn12 Mn 0.738 0.815 0.247
Mn13 Mn 0.766 0.184 0.252
Mn14 Mn 0.797 0.487 0.613
Mn15 Mn 0.953 0.513 0.136
Mn16 Mn 0.986 0.816 0.498
O1 O 0.035 0.359 0.990
O2 O 0.042 0.624 0.749
O3 O 0.074 0.940 0.718
O4 O 0.086 0.287 0.718
O5 O 0.158 0.709 0.531
O6 O 0.167 0.052 0.532
O7 O 0.209 0.378 0.504
O8 O 0.210 0.634 0.257
O9 O 0.290 0.358 0.244
O10 O 0.294 0.620 0.997
O11 O 0.330 0.945 0.971
O12 O 0.335 0.284 0.969
O13 O 0.411 0.715 0.780
O14 O 0.414 0.051 0.781
O15 O 0.457 0.385 0.757
O16 O 0.457 0.636 0.503
O17 O 0.543 0.364 0.497
O18 O 0.543 0.615 0.243
O19 O 0.586 0.949 0.219
O20 O 0.589 0.285 0.220
O21 O 0.665 0.716 0.031
O22 O 0.670 0.055 0.029
O23 O 0.706 0.380 0.003
O24 O 0.710 0.642 0.756
O25 O 0.790 0.366 0.743
O26 O 0.791 0.622 0.496
O27 O 0.833 0.948 0.468
O28 O 0.842 0.291 0.469
O29 O 0.914 0.713 0.282
O30 O 0.926 0.060 0.282
O31 O 0.958 0.376 0.251
O32 O 0.965 0.641 0.010
# Symmetry: P-1
# VASP energy (eV per atom): -6.992
# Energy relative to the lowest polymorph listed for this composition (eV/atom): 0.000